A crystal of Ir2Os relaxed with PBEsol. Source: the Alexandria database, functional SCAN.

The value obtained for the energy of formation is 0.00 eV/f.u. Its density is 22.720 g/cm3.

The structure belongs to space group Immm (No. 71); the cell edges are 2.7051, 3.8219 and 8.1251 Å and the angles 90.00°, 90.00° and 90.00°. The asymmetric unit holds Ir at (0.0000, 0.0000, 0.1643) and Os at (0.0000, 0.0000, 0.5000).